First-principles (SCAN) data for a crystal of Mg3HgAu relaxed with PBEsol, as listed in the Alexandria database.

Properties
calculated formation energy	88	meV/atom
uncorrected energy	-151.8	eV/f.u.
Fermi-level density of states	0.3944	states/eV per atom

Unit cell a=5.097 b=5.097 c=5.097 alpha=90.00 beta=90.00 gamma=90.00
Space group Pm-3m (No. 221)
Inequivalent atoms, fractional coordinates:
Mg 0.000 0.000 0.500
Hg 0.000 0.000 0.000
Au 0.500 0.500 0.500